A plane-wave DFT calculation with GGA-PBE was carried out for crystalline Na3CrCl6 at its relaxed geometry.

It has space group R-3 (No. 148, hexagonal axes), with a = 11.2930 Å, b = 11.2930 Å, c = 13.5235 Å, α = 90.00°, β = 90.00° and γ = 120.00°. The asymmetric unit holds Na at (0.0526, 0.7815, 0.2000), Cr at (0.0000, 0.0000, 0.0000), Cr at (0.0000, 0.0000, 0.5000), Cl at (0.0216, 0.8376, 0.4011) and Cl at (0.0344, 0.8496, 0.8973).

The size of the total moment is 18.00 Bohr magnetons per cell. The energy above the most stable polymorph in this dataset is 9 kJ/mol of formula units. For the density of states at the Fermi level, the calculation gives 0.0 states/eV per cell. The uncorrected formation energy comes out at -1.52 eV per atom.